1.
Density functional theory data (PBE-GGA) for a relaxed structure of SrCu4Rh.

## Properties
V (A^3/atom): 15.6
Formation energy from the elements (eV/atom): 0.04

Lattice parameters (Å, degrees): 5.0983 5.0983 5.0983 60.00 60.00 60.00
Closest atoms and distances in Å follow each position.
Positions (direct):
Sr 0.0000 0.0000 0.0000  12 Cu 2.99, 4 Rh 3.12
Rh 0.7500 0.7500 0.7500  12 Cu 2.99, 4 Sr 3.12
Cu 0.3765 0.3765 0.8704  6 Cu 2.52-2.58
Cu 0.3765 0.3765 0.3765  6 Cu 2.52-2.58
Cu 0.3765 0.8704 0.3765  6 Cu 2.52-2.58
Cu 0.8704 0.3765 0.3765  6 Cu 2.52-2.58

2.
Density functional theory data (PBE-GGA) for a relaxed structure of Ba4Sb5.

## Properties
Energy relative to the elements, uncorrected (eV per atom): -0.631
V (A^3/atom): 37.3

Lattice parameters (Å, degrees): 10.4242 10.4242 7.1401 90.00 90.00 120.00
Closest atoms and distances in Å follow each position.
Positions (direct):
Ba 0.3822 0.0000 0.2500  9 Sb 3.35-3.71
Ba 0.6178 0.0000 0.7500  9 Sb 3.35-3.71
Ba 0.0000 0.3822 0.2500  9 Sb 3.35-3.71
Ba 0.0000 0.0000 0.5000  6 Sb 3.57, 2 Ba 3.57
Ba 0.0000 0.0000 0.0000  6 Sb 3.57, 2 Ba 3.57
Ba 0.6178 0.6178 0.2500  9 Sb 3.35-3.71
Ba 0.0000 0.6178 0.7500  9 Sb 3.35-3.71
Ba 0.3822 0.3822 0.7500  9 Sb 3.35-3.71
Sb 0.7038 0.7038 0.7500  7 Ba 3.35-3.68
Sb 0.2962 0.2962 0.2500  7 Ba 3.35-3.68
Sb 0.6667 0.3333 0.0000  2 Sb 3.57, 6 Ba 3.71
Sb 0.6667 0.3333 0.5000  2 Sb 3.57, 6 Ba 3.71
Sb 0.0000 0.7038 0.2500  7 Ba 3.35-3.68
Sb 0.7038 0.0000 0.2500  7 Ba 3.35-3.68
Sb 0.3333 0.6667 0.5000  2 Sb 3.57, 6 Ba 3.71
Sb 0.2962 0.0000 0.7500  7 Ba 3.35-3.68
Sb 0.3333 0.6667 0.0000  2 Sb 3.57, 6 Ba 3.71
Sb 0.0000 0.2962 0.7500  7 Ba 3.35-3.68

3.
Density functional theory data (PBE-GGA) for a relaxed structure of TeWCl2.

## Properties
Energy relative to the elements, uncorrected (eV per atom): 0.756
V (A^3/atom): 28.8

Lattice parameters (Å, degrees): 7.0014 7.0014 6.8299 59.17 59.17 90.00
Closest atoms and distances in Å follow each position.
Positions (direct):
Cl 0.3750 0.2426 0.7500  2 W 2.26
Cl 0.9926 0.6250 0.2500  2 W 2.26
Cl 0.8750 0.0074 0.7500  2 W 2.26
Cl 0.7574 0.1250 0.2500  2 W 2.26
Te 0.5000 0.5000 0.0000  4 Cl 3.41
Te 0.2500 0.7500 0.5000  4 Cl 3.41
W 0.0000 0.0000 0.0000  4 Cl 2.26
W 0.7500 0.2500 0.5000  4 Cl 2.26

4.
Density functional theory data (PBE-GGA) for a relaxed structure of TmHPd2Pt.

## Properties
Calculated total energy (eV/atom): -5.6356
V (A^3/atom): 14.2

Lattice parameters (Å, degrees): 4.1191 4.1456 4.1456 90.00 90.00 90.00
Closest atoms and distances in Å follow each position.
Positions (direct):
Tm 0.5000 0.5000 0.5000  8 Pd 2.92, 4 Pt 2.93
Pd 0.0000 0.0000 0.5000  2 H 2.07
Pd 0.0000 0.5000 0.0000  2 H 2.07
Pt 0.5000 0.0000 0.0000  2 H 2.06
H 0.0000 0.0000 0.0000  2 Pt 2.06, 4 Pd 2.07

5.
Density functional theory data (PBE-GGA) for a relaxed structure of TbPmGaCo.

## Properties
V (A^3/atom): 22.2
Formation energy from the elements (eV/atom): -0.26

Lattice parameters (Å, degrees): 5.0067 5.0067 5.0067 60.00 60.00 60.00
Closest atoms and distances in Å follow each position.
Positions (direct):
Co 0.7500 0.7500 0.7500  4 Tb 3.07, 4 Pm 3.07
Pm 0.0000 0.0000 0.0000  4 Ga 3.07, 4 Co 3.07
Tb 0.5000 0.5000 0.5000  4 Co 3.07, 4 Ga 3.07
Ga 0.2500 0.2500 0.2500  4 Tb 3.07, 4 Pm 3.07

6.
Density functional theory data (PBE-GGA) for a relaxed structure of KAgI2.

## Properties
Energy relative to the elements, uncorrected (eV per atom): -0.852
V (A^3/atom): 40.4

Lattice parameters (Å, degrees): 4.6659 8.1139 17.0549 90.00 90.00 90.00
Closest atoms and distances in Å follow each position.
Positions (direct):
Ag 0.5000 0.8407 0.9540  4 I 2.82-2.99
Ag 0.5000 0.3407 0.5460  4 I 2.82-2.99
Ag 0.0000 0.1593 0.4540  4 I 2.82-2.99
Ag 0.0000 0.6593 0.0460  4 I 2.82-2.99
I 0.5000 0.4893 0.9726  3 Ag 2.87-2.99
I 0.5000 0.4608 0.7009  1 Ag 2.82
I 0.0000 0.5107 0.4726  3 Ag 2.87-2.99
I 0.0000 0.0392 0.2991  1 Ag 2.82
I 0.5000 0.9608 0.7991  1 Ag 2.82
I 0.0000 0.0107 0.0274  3 Ag 2.87-2.99
I 0.5000 0.9893 0.5274  3 Ag 2.87-2.99
I 0.0000 0.5392 0.2009  1 Ag 2.82
K 0.5000 0.7225 0.3340  6 I 3.52-3.74
K 0.0000 0.2775 0.8340  6 I 3.52-3.74
K 0.5000 0.2225 0.1660  6 I 3.52-3.74
K 0.0000 0.7775 0.6660  6 I 3.52-3.74

7.
Density functional theory data (PBE-GGA) for a relaxed structure of Li2CaNp2O6.

## Properties
Energy relative to the elements, uncorrected (eV per atom): -2.308
V (A^3/atom): 17.6

Lattice parameters (Å, degrees): 5.9624 5.9624 7.1677 65.42 65.42 60.00
Closest atoms and distances in Å follow each position.
Positions (direct):
Li 0.4252 0.4252 0.7243  3 O 1.87
Li 0.5748 0.5748 0.2757  3 O 1.87
O 0.7920 0.2493 0.7093  1 Li 1.87, 1 Np 2.02
O 0.2080 0.7507 0.2907  1 Li 1.87, 1 Np 2.02
O 0.7507 0.7507 0.2907  1 Li 1.87, 1 Np 2.02
O 0.2493 0.2493 0.7093  1 Li 1.87, 1 Np 2.02
O 0.2493 0.7920 0.7093  1 Li 1.87, 1 Np 2.02
O 0.7507 0.2080 0.2907  1 Li 1.87, 1 Np 2.02
Np 0.1639 0.1639 0.5083  3 O 2.02
Np 0.8361 0.8361 0.4917  3 O 2.02
Ca 0.0000 0.0000 0.0000  6 O 2.41

8.
Density functional theory data (PBE-GGA) for a relaxed structure of Nd3NiC2N6.

## Properties
Energy relative to the elements, uncorrected (eV per atom): -0.531
V (A^3/atom): 13.0

Lattice parameters (Å, degrees): 5.3383 5.3383 6.3045 90.00 90.00 120.00
Closest atoms and distances in Å follow each position.
Positions (direct):
N 0.6296 0.8148 0.2731  1 C 1.37
N 0.8148 0.6296 0.7269  1 C 1.37
N 0.1852 0.8148 0.2731  1 C 1.37
N 0.8148 0.1852 0.7269  1 C 1.37
N 0.3704 0.1852 0.7269  1 C 1.37
N 0.1852 0.3704 0.2731  1 C 1.37
Nd 0.3333 0.6667 0.6624  1 C 2.53, 9 N 2.71-2.81
Nd 0.6667 0.3333 0.3376  1 C 2.53, 9 N 2.71-2.81
Nd 0.0000 0.0000 0.0000  6 N 2.43
C 0.6667 0.3333 0.7382  3 N 1.37
C 0.3333 0.6667 0.2618  3 N 1.37
Ni 0.0000 0.0000 0.5000  6 N 2.23

9.
Density functional theory data (PBE-GGA) for a relaxed structure of AcSbPtCl.

## Properties
Energy relative to the elements, uncorrected (eV per atom): -1.371
V (A^3/atom): 28.5

Lattice parameters (Å, degrees): 4.6278 4.6278 12.5783 79.40 79.40 60.00
Closest atoms and distances in Å follow each position.
Positions (direct):
Ac 0.9062 0.9062 0.2813  3 Cl 3.09, 3 Pt 3.23
Ac 0.0938 0.0938 0.7187  3 Cl 3.09, 3 Pt 3.23
Cl 0.8028 0.8028 0.5917  3 Ac 3.09
Cl 0.1972 0.1972 0.4083  3 Ac 3.09
Sb 0.6983 0.6983 0.9051  4 Pt 2.71-2.81
Sb 0.3017 0.3017 0.0949  4 Pt 2.71-2.81
Pt 0.3778 0.3778 0.8666  4 Sb 2.71-2.81
Pt 0.6222 0.6222 0.1334  4 Sb 2.71-2.81

10.
Density functional theory data (PBE-GGA) for a relaxed structure of NdDyHoCd.

## Properties
V (A^3/atom): 29.3
Formation energy from the elements (eV/atom): -0.03

Lattice parameters (Å, degrees): 5.4944 5.4944 5.4944 60.00 60.00 60.00
Closest atoms and distances in Å follow each position.
Positions (direct):
Dy 0.0000 0.0000 0.0000  4 Ho 3.36, 4 Cd 3.36
Ho 0.2500 0.2500 0.2500  4 Nd 3.36, 4 Dy 3.36
Cd 0.7500 0.7500 0.7500  4 Dy 3.36, 4 Nd 3.36
Nd 0.5000 0.5000 0.5000  4 Ho 3.36, 4 Cd 3.36

11.
Density functional theory data (PBE-GGA) for a relaxed structure of Ac2YSe4.

## Properties
Energy relative to the elements, uncorrected (eV per atom): -1.840
V (A^3/atom): 31.6

Lattice parameters (Å, degrees): 4.1417 7.6654 14.4650 90.00 90.00 105.67
Closest atoms and distances in Å follow each position.
Positions (direct):
Se 0.9897 0.9794 0.7500  2 Y 2.92, 2 Ac 3.08
Se 0.2159 0.4317 0.6281  2 Y 3.01, 3 Ac 3.16-3.21
Se 0.5000 0.0000 0.5000  4 Ac 3.04
Se 0.5000 0.0000 0.0000  4 Ac 3.04
Se 0.0103 0.0206 0.2500  2 Y 2.92, 2 Ac 3.08
Se 0.7841 0.5683 0.1281  2 Y 3.01, 3 Ac 3.16-3.21
Se 0.7841 0.5683 0.3719  2 Y 3.01, 3 Ac 3.16-3.21
Se 0.2159 0.4317 0.8719  2 Y 3.01, 3 Ac 3.16-3.21
Ac 0.1309 0.2619 0.4237  6 Se 3.04-3.21
Ac 0.8691 0.7381 0.9237  6 Se 3.04-3.21
Ac 0.8691 0.7381 0.5763  6 Se 3.04-3.21
Ac 0.1309 0.2619 0.0763  6 Se 3.04-3.21
Y 0.6292 0.2583 0.7500  6 Se 2.92-3.01
Y 0.3708 0.7417 0.2500  6 Se 2.92-3.01

12.
Density functional theory data (PBE-GGA) for a relaxed structure of CuTePI2.

## Properties
Energy relative to the elements, uncorrected (eV per atom): 0.772
V (A^3/atom): 29.6

Lattice parameters (Å, degrees): 5.2650 5.2650 5.3474 90.00 90.00 90.00
Closest atoms and distances in Å follow each position.
Positions (direct):
Te 0.0000 0.0000 0.5000  2 Cu 2.67
P 0.5000 0.5000 0.5000  4 Te 3.72, 8 I 3.75
I 0.0000 0.5000 0.0000  2 Cu 2.63
I 0.5000 0.0000 0.0000  2 Cu 2.63
Cu 0.0000 0.0000 0.0000  4 I 2.63, 2 Te 2.67

13.
Density functional theory data (PBE-GGA) for a relaxed structure of CdCuSN2.

## Properties
Energy relative to the elements, uncorrected (eV per atom): 1.258
V (A^3/atom): 15.5

Lattice parameters (Å, degrees): 3.7737 3.7737 5.4247 90.00 90.00 90.00
Closest atoms and distances in Å follow each position.
Positions (direct):
Cd 0.5000 0.5000 0.5000  4 S 2.67
N 0.5000 0.0000 0.0000  2 Cu 1.89
N 0.0000 0.5000 0.0000  2 Cu 1.89
Cu 0.0000 0.0000 0.0000  4 N 1.89
S 0.0000 0.0000 0.5000  4 Cd 2.67, 2 Cu 2.71

14.
Density functional theory data (PBE-GGA) for a relaxed structure of Ba3Bi2F.

## Properties
Energy relative to the elements, uncorrected (eV per atom): -1.591
V (A^3/atom): 39.9

Lattice parameters (Å, degrees): 4.6685 10.2343 20.0543 90.00 90.00 90.00
Closest atoms and distances in Å follow each position.
Positions (direct):
F 0.2500 0.3669 0.6345  4 Ba 2.69-2.82
F 0.2500 0.8669 0.8655  4 Ba 2.69-2.82
F 0.7500 0.6331 0.3655  4 Ba 2.69-2.82
F 0.7500 0.1331 0.1345  4 Ba 2.69-2.82
Ba 0.7500 0.1797 0.2729  1 F 2.82
Ba 0.7500 0.3766 0.0794  1 F 2.73
Ba 0.2500 0.8203 0.7271  1 F 2.82
Ba 0.7500 0.4835 0.6054  2 F 2.69
Ba 0.2500 0.0165 0.1054  2 F 2.69
Ba 0.2500 0.3203 0.7729  1 F 2.82
Ba 0.2500 0.5165 0.3946  2 F 2.69
Ba 0.7500 0.9835 0.8946  2 F 2.69
Ba 0.7500 0.8766 0.4206  1 F 2.73
Ba 0.7500 0.6797 0.2271  1 F 2.82
Ba 0.2500 0.1234 0.5794  1 F 2.73
Ba 0.2500 0.6234 0.9206  1 F 2.73
Bi 0.2500 0.4164 0.2178  7 Ba 3.54-3.69
Bi 0.7500 0.7500 0.0440  7 Ba 3.64-3.89
Bi 0.2500 0.9164 0.2822  7 Ba 3.54-3.69
Bi 0.2500 0.2500 0.9560  7 Ba 3.64-3.89
Bi 0.7500 0.2500 0.4560  7 Ba 3.64-3.89
Bi 0.7500 0.0836 0.7178  7 Ba 3.54-3.69
Bi 0.7500 0.5836 0.7822  7 Ba 3.54-3.69
Bi 0.2500 0.7500 0.5440  7 Ba 3.64-3.89

15.
Density functional theory data (PBE-GGA) for a relaxed structure of PmNi4As.

## Properties
V (A^3/atom): 14.5
Formation energy from the elements (eV/atom): -0.23

Lattice parameters (Å, degrees): 4.9779 4.9779 4.9779 60.00 60.00 60.00
Closest atoms and distances in Å follow each position.
Positions (direct):
Ni 0.1237 0.6254 0.6254  6 Ni 2.48-2.50
Ni 0.6254 0.6254 0.6254  6 Ni 2.48-2.50
Ni 0.6254 0.1237 0.6254  6 Ni 2.48-2.50
Ni 0.6254 0.6254 0.1237  6 Ni 2.48-2.50
As 0.0000 0.0000 0.0000  12 Ni 2.92, 4 Pm 3.05
Pm 0.2500 0.2500 0.2500  12 Ni 2.92, 4 As 3.05

16.
Density functional theory data (PBE-GGA) for a relaxed structure of BaScCdAu2.

## Properties
V (A^3/atom): 30.2
Formation energy from the elements (eV/atom): 0.07

Lattice parameters (Å, degrees): 5.3550 5.2728 5.3550 90.00 90.00 90.00
Closest atoms and distances in Å follow each position.
Positions (direct):
Ba 0.5000 0.5000 0.5000  8 Au 3.76, 4 Sc 3.79
Au 0.0000 0.0000 0.5000  2 Cd 2.68
Au 0.5000 0.0000 0.0000  2 Cd 2.68
Cd 0.0000 0.0000 0.0000  2 Sc 2.64, 4 Au 2.68
Sc 0.0000 0.5000 0.0000  2 Cd 2.64

17.
Density functional theory data (PBE-GGA) for a relaxed structure of TeIr4Br.

## Properties
Energy relative to the elements, uncorrected (eV per atom): 1.002
V (A^3/atom): 18.2

Lattice parameters (Å, degrees): 5.3657 5.3657 5.3657 60.00 60.00 60.00
Closest atoms and distances in Å follow each position.
Positions (direct):
Ir 0.3755 0.3755 0.8736  6 Ir 2.67-2.69
Ir 0.3755 0.3755 0.3755  6 Ir 2.67-2.69
Ir 0.8736 0.3755 0.3755  6 Ir 2.67-2.69
Ir 0.3755 0.8736 0.3755  6 Ir 2.67-2.69
Te 0.7500 0.7500 0.7500  12 Ir 3.14, 4 Br 3.29
Br 0.0000 0.0000 0.0000  12 Ir 3.15, 4 Te 3.29

18.
Density functional theory data (PBE-GGA) for a relaxed structure of Sb7Ru6.

## Properties
Energy relative to the elements, uncorrected (eV per atom): 0.857
V (A^3/atom): 21.7

Lattice parameters (Å, degrees): 9.6447 9.6447 9.6447 36.38 36.38 36.38
Closest atoms and distances in Å follow each position.
Positions (direct):
Ru 0.8152 0.8152 0.8152  3 Sb 2.62
Ru 0.1848 0.1848 0.1848  3 Sb 2.62
Ru 0.9542 0.9542 0.9542  1 Ru 2.47
Ru 0.6632 0.6632 0.6632  6 Sb 2.62-2.70
Ru 0.0458 0.0458 0.0458  1 Ru 2.47
Ru 0.3368 0.3368 0.3368  6 Sb 2.62-2.70
Sb 0.5788 0.5788 0.0657  3 Ru 2.62-2.70
Sb 0.0657 0.5788 0.5788  3 Ru 2.62-2.70
Sb 0.5000 0.5000 0.5000  6 Sb 3.06
Sb 0.4212 0.9343 0.4212  3 Ru 2.62-2.70
Sb 0.9343 0.4212 0.4212  3 Ru 2.62-2.70
Sb 0.5788 0.0657 0.5788  3 Ru 2.62-2.70
Sb 0.4212 0.4212 0.9343  3 Ru 2.62-2.70

19.
Density functional theory data (PBE-GGA) for a relaxed structure of Li2YBr5.

## Properties
Energy relative to the elements, uncorrected (eV per atom): -1.639
V (A^3/atom): 39.6

Lattice parameters (Å, degrees): 7.1715 7.4657 7.4660 67.34 64.79 64.80
Closest atoms and distances in Å follow each position.
Positions (direct):
Br 0.3699 0.7677 0.7677  2 Li 2.59, 1 Y 2.82
Br 0.7220 0.9094 0.9094  2 Li 2.67, 1 Y 2.76
Br 0.6332 0.2570 0.2570  2 Li 2.58, 1 Y 2.84
Br 0.1386 0.3284 0.7867  1 Li 2.54, 1 Y 2.68
Br 0.1385 0.7867 0.3284  1 Li 2.54, 1 Y 2.68
Li 0.5034 0.6400 0.0802  4 Br 2.54-2.67
Li 0.5035 0.0802 0.6400  4 Br 2.54-2.67
Y 0.9910 0.0076 0.0076  5 Br 2.68-2.84

20.
Density functional theory data (PBE-GGA) for a relaxed structure of Cd2TcOs.

## Properties
V (A^3/atom): 17.2
Formation energy from the elements (eV/atom): 0.73

Lattice parameters (Å, degrees): 5.2993 5.2993 5.2993 136.91 136.91 62.58
Closest atoms and distances in Å follow each position.
Positions (direct):
Cd 0.5000 0.5000 0.0000  4 Cd 2.75, 4 Tc 2.99, 4 Os 2.99
Cd 0.0000 0.0000 0.0000  4 Cd 2.75, 4 Os 2.99, 4 Tc 2.99
Os 0.2500 0.7500 0.5000  4 Tc 2.75, 8 Cd 2.99
Tc 0.7500 0.2500 0.5000  4 Os 2.75, 8 Cd 2.99

21.
Density functional theory data (PBE-GGA) for a relaxed structure of LiGaBr.

## Properties
Energy relative to the elements, uncorrected (eV per atom): -0.588
V (A^3/atom): 25.0

Lattice parameters (Å, degrees): 3.6993 3.9104 11.7578 90.00 90.00 118.23
Closest atoms and distances in Å follow each position.
Positions (direct):
Li 0.0734 0.1468 0.1654  3 Br 2.49
Li 0.0734 0.1468 0.8346  3 Br 2.49
Br 0.7515 0.5030 0.7381  3 Li 2.49
Br 0.7515 0.5030 0.2619  3 Li 2.49
Ga 0.2594 0.5187 0.5000  4 Br 3.36, 2 Ga 3.70
Ga 0.7574 0.5148 0.0000  6 Li 2.92-2.97, 2 Br 3.08

22.
Density functional theory data (PBE-GGA) for a relaxed structure of SiPdIO2.

## Properties
Energy relative to the elements, uncorrected (eV per atom): -0.735
V (A^3/atom): 16.3

Lattice parameters (Å, degrees): 3.5770 3.5770 6.3833 90.00 90.00 90.00
Closest atoms and distances in Å follow each position.
Positions (direct):
Si 0.0000 0.0000 0.0000  4 O 1.79
O 0.0000 0.5000 0.0000  2 Si 1.79
O 0.5000 0.0000 0.0000  2 Si 1.79
Pd 0.5000 0.5000 0.5000  4 I 2.53
I 0.0000 0.0000 0.5000  4 Pd 2.53

23.
Density functional theory data (PBE-GGA) for a relaxed structure of CaBe4Rh.

## Properties
V (A^3/atom): 11.9
Formation energy from the elements (eV/atom): -0.09

Lattice parameters (Å, degrees): 4.6574 4.6574 4.6574 60.00 60.00 60.00
Closest atoms and distances in Å follow each position.
Positions (direct):
Be 0.8842 0.3719 0.3719  6 Be 2.27-2.39
Be 0.3719 0.3719 0.8842  6 Be 2.27-2.39
Be 0.3719 0.8842 0.3719  6 Be 2.27-2.39
Be 0.3719 0.3719 0.3719  6 Be 2.27-2.39
Ca 0.7500 0.7500 0.7500  12 Be 2.74, 4 Rh 2.85
Rh 0.0000 0.0000 0.0000  12 Be 2.72, 4 Ca 2.85